# Pr2Nd2Er, relaxed, DFT PBE
data_Pr2Nd2Er
_chemical_formula_sum 'Pr8 Nd8 Er4'
_cell_length_a 10.0031
_cell_length_b 10.0486
_cell_length_c 6.8744
_cell_angle_alpha 90.00
_cell_angle_beta 91.27
_cell_angle_gamma 90.00
_symmetry_space_group_name_H-M 'C 1 c 1'
_symmetry_Int_Tables_number 9
_symmetry_space_group_name_Hall 'C -2yc'
loop_
_atom_site_label
_atom_site_type_symbol
_atom_site_fract_x
_atom_site_fract_y
_atom_site_fract_z
Pr1 Pr 0.0000 0.1620 0.0000
Pr2 Pr 0.1840 0.2498 0.3692
Nd1 Nd 0.0860 0.4357 0.7199
Nd2 Nd 0.2780 0.0688 0.7491
Er1 Er 0.3651 0.3536 0.9981
# Final energy: -4.5662 eV per atom
# Calculated density: 7.092 Mg/m³
# DFT formation energy: 0.165 eV/atom
# Polymorph energy (0 for the lowest one): 0.0000 eV/atom

---

# Pr2Nd5Er12, relaxed, DFT PBE
data_Pr2Nd5Er12
_chemical_formula_sum 'Pr4 Nd10 Er24'
_cell_length_a 15.6527
_cell_length_b 9.3072
_cell_length_c 8.6482
_cell_angle_alpha 90.00
_cell_angle_beta 92.08
_cell_angle_gamma 90.00
_symmetry_space_group_name_H-M 'C 1 2/m 1'
_symmetry_Int_Tables_number 12
_symmetry_space_group_name_Hall '-C 2y'
loop_
_atom_site_label
_atom_site_type_symbol
_atom_site_fract_x
_atom_site_fract_y
_atom_site_fract_z
Pr1 Pr 0.0000 0.1787 0.0000
Nd1 Nd 0.0000 0.5000 0.5000
Nd2 Nd 0.2053 0.0000 0.0158
Nd3 Nd 0.2305 0.5000 0.5726
Er1 Er 0.0567 0.0000 0.3342
Er2 Er 0.0797 0.5000 0.8772
Er3 Er 0.1288 0.1889 0.6605
Er4 Er 0.1497 0.3219 0.2428
# Final energy: -4.5118 eV per atom
# Calculated density: 7.940 Mg/m³
# DFT formation energy: 0.128 eV/atom
# Polymorph energy (0 for the lowest one): 0.0000 eV/atom